Entry from Alexandria: a relaxed HfPd6Au2 crystal (GGA-PBE).

The structure in CIF format:
```
data_HfPd6Au2
_cell_length_a 13.783
_cell_length_b 2.857
_cell_length_c 9.407
_cell_angle_alpha 90.00
_cell_angle_beta 123.42
_cell_angle_gamma 90.00
_symmetry_space_group_name_H-M 'C 1 2/m 1'
_symmetry_Int_Tables_number 12
loop_
_symmetry_equiv_pos_as_xyz
'x,y,z'
'-x,-y,-z'
'-x,y,-z'
'x,-y,z'
'x+1/2,y+1/2,z'
'-x+1/2,-y+1/2,-z'
'-x+1/2,y+1/2,-z'
'x+1/2,-y+1/2,z'
loop_
_atom_site_label
_atom_site_fract_x
_atom_site_fract_y
_atom_site_fract_z
Hf1 0.000 0.000 0.000
Pd1 0.065 0.000 0.789
Pd2 0.141 0.500 0.295
Pd3 0.236 0.000 0.131
Au1 0.121 0.000 0.546
```

Summary:
total DFT energy (no corrections) = -5.514 eV/atom
magnetization = 0.0 μB/cell
crystal system = monoclinic
ΔH_f (0 K) = -0.218 eV/atom